Record 1
Computed, not measured: an optimized crystal structure of SrAlBr2 at the PBE level of DFT.

Properties
energy relative to the lowest polymorph listed for this composition	0.121	eV/atom
crystal system	monoclinic
space-group type	P2/m, No. 10
D(E_F)	2.23	states/eV/cell
ΔE_f (raw)	-0.843	eV/atom

Cell: 4.3509 4.6607 6.5429 Å, 90.00 96.02 90.00°
With the nearest neighbours (Å) after each atom.
Fractional positions:
Sr  0.0000  0.0000  0.0000  4 Br 3.10
Al  0.5000  0.0000  0.5000  4 Br 3.12
Br  0.2554  0.5000  0.7548  2 Sr 3.10, 2 Al 3.12
Br  0.7446  0.5000  0.2452  2 Sr 3.10, 2 Al 3.12


Record 2
Computed, not measured: an optimized crystal structure of SrAl2Br at the PBE level of DFT.

Properties
energy relative to the lowest polymorph listed for this composition	0.651	eV/atom
crystal system	orthorhombic
space-group type	Cmmm, No. 65
D(E_F)	1.59	states/eV/cell
ΔE_f (raw)	0.132	eV/atom

Cell: 3.5473 3.5473 9.4053 Å, 90.00 90.00 110.25°
With the nearest neighbours (Å) after each atom.
Fractional positions:
Sr  0.0000  0.0000  0.0000  4 Al 3.27, 4 Sr 3.55
Al  0.5000  0.5000  0.2721  2 Br 2.95, 2 Sr 3.27
Al  0.5000  0.5000  0.7279  2 Br 2.95, 2 Sr 3.27
Br  0.0000  0.0000  0.5000  4 Al 2.95


Record 3
Computed, not measured: an optimized crystal structure of SrAl2Br at the PBE level of DFT.

Properties
energy relative to the lowest polymorph listed for this composition	0.035	eV/atom
crystal system	monoclinic
space-group type	Pm, No. 6
D(E_F)	1.73	states/eV/cell
ΔE_f (raw)	-0.484	eV/atom

Cell: 3.9411 3.8382 8.6986 Å, 90.00 92.50 90.00°
With the nearest neighbours (Å) after each atom.
Fractional positions:
Sr  0.0000  0.0000  0.0000  4 Br 3.12, 4 Al 3.43-3.47
Al  0.4719  0.0000  0.6718  4 Al 2.75
Al  0.9733  0.5000  0.6723  4 Al 2.75
Br  0.5165  0.5000  0.1700  4 Sr 3.12


Record 4
Computed, not measured: an optimized crystal structure of SrAl2Br at the PBE level of DFT.

Properties
energy relative to the lowest polymorph listed for this composition	0.058	eV/atom
crystal system	orthorhombic
space-group type	Pmm2, No. 25
D(E_F)	0.98	states/eV/cell
ΔE_f (raw)	-0.460	eV/atom

Cell: 3.6623 3.8677 8.8778 Å, 90.00 90.00 90.00°
With the nearest neighbours (Å) after each atom.
Fractional positions:
Sr  0.0000  0.0000  0.0000  4 Br 3.11, 1 Al 3.32
Al  0.0000  0.0000  0.3739  4 Al 2.77
Al  0.5000  0.5000  0.2884  4 Al 2.77
Br  0.5000  0.5000  0.8186  4 Sr 3.11


Record 5
Computed, not measured: an optimized crystal structure of SrAlBr2 at the PBE level of DFT.

Properties
energy relative to the lowest polymorph listed for this composition	0.130	eV/atom
crystal system	tetragonal
space-group type	P4/mmm, No. 123
D(E_F)	1.86	states/eV/cell
ΔE_f (raw)	-0.834	eV/atom

Cell: 5.0937 5.0937 4.4368 Å, 90.00 90.00 90.00°
With the nearest neighbours (Å) after each atom.
Fractional positions:
Sr  0.0000  0.0000  0.0000  8 Br 3.38, 4 Al 3.60
Al  0.5000  0.5000  0.0000  8 Br 3.38, 4 Sr 3.60
Br  0.0000  0.5000  0.5000  4 Al 3.38, 4 Sr 3.38, 4 Br 3.60
Br  0.5000  0.0000  0.5000  4 Al 3.38, 4 Sr 3.38, 4 Br 3.60


Record 6
Computed, not measured: an optimized crystal structure of SrAlBr2 at the PBE level of DFT.

Properties
energy relative to the lowest polymorph listed for this composition	0.160	eV/atom
crystal system	orthorhombic
space-group type	Pmmm, No. 47
D(E_F)	2.93	states/eV/cell
ΔE_f (raw)	-0.803	eV/atom

Cell: 3.9939 4.1074 7.3385 Å, 90.00 90.00 90.00°
With the nearest neighbours (Å) after each atom.
Fractional positions:
Sr  0.0000  0.0000  0.0000  8 Br 3.32, 2 Al 3.67
Al  0.0000  0.0000  0.5000  8 Br 3.48, 2 Sr 3.67
Br  0.5000  0.5000  0.2295  4 Sr 3.32, 1 Br 3.37, 4 Al 3.48
Br  0.5000  0.5000  0.7705  4 Sr 3.32, 1 Br 3.37, 4 Al 3.48


Record 7
Computed, not measured: an optimized crystal structure of SrAlBr2 at the PBE level of DFT.

Properties
energy relative to the lowest polymorph listed for this composition	0.088	eV/atom
crystal system	orthorhombic
space-group type	Pmmm, No. 47
D(E_F)	1.13	states/eV/cell
ΔE_f (raw)	-0.875	eV/atom

Cell: 4.2358 4.5933 6.1966 Å, 90.00 90.00 90.00°
With the nearest neighbours (Å) after each atom.
Fractional positions:
Sr  0.0000  0.0000  0.0000  4 Br 3.12
Al  0.5000  0.0000  0.5000  4 Br 3.12
Br  0.0000  0.5000  0.5000  4 Al 3.12
Br  0.5000  0.5000  0.0000  4 Sr 3.12


Record 8
Computed, not measured: an optimized crystal structure of SrAl2Br8 at the PBE level of DFT.

Properties
energy relative to the lowest polymorph listed for this composition	0.000	eV/atom
crystal system	monoclinic
space-group type	C2/c, No. 15
D(E_F)	0.00	states/eV/cell
ΔE_f (raw)	-1.415	eV/atom

Cell: 10.9524 10.9524 10.6268 Å, 116.99 116.99 58.25°
With the nearest neighbours (Å) after each atom.
Fractional positions:
Sr  0.0277  0.9723  0.7500  8 Br 3.13-3.41
Sr  0.9723  0.0277  0.2500  8 Br 3.13-3.41
Al  0.1528  0.6557  0.9396  4 Br 2.26-2.39
Al  0.3443  0.8472  0.5604  4 Br 2.26-2.39
Al  0.6557  0.1528  0.4396  4 Br 2.26-2.39
Al  0.8472  0.3443  0.0604  4 Br 2.26-2.39
Br  0.0614  0.2665  0.9970  1 Al 2.34
Br  0.0833  0.6421  0.6913  1 Al 2.35
Br  0.1308  0.7849  0.4326  1 Al 2.39
Br  0.2151  0.8692  0.0674  1 Al 2.39
Br  0.2665  0.0614  0.4970  1 Al 2.34
Br  0.3402  0.4447  0.9987  1 Al 2.26
Br  0.3579  0.9167  0.8087  1 Al 2.35
Br  0.4447  0.3402  0.4987  1 Al 2.26
Br  0.5553  0.6598  0.5013  1 Al 2.26
Br  0.6421  0.0833  0.1913  1 Al 2.35
Br  0.6598  0.5553  0.0013  1 Al 2.26
Br  0.7335  0.9386  0.5030  1 Al 2.34
Br  0.7849  0.1308  0.9326  1 Al 2.39
Br  0.8692  0.2151  0.5674  1 Al 2.39
Br  0.9167  0.3579  0.3087  1 Al 2.35
Br  0.9386  0.7335  0.0030  1 Al 2.34


Record 9
Computed, not measured: an optimized crystal structure of SrAlBr2 at the PBE level of DFT.

Properties
energy relative to the lowest polymorph listed for this composition	0.426	eV/atom
crystal system	cubic
space-group type	F-43m, No. 216
D(E_F)	3.19	states/eV/cell
ΔE_f (raw)	-0.538	eV/atom

Cell: 5.5620 5.5620 5.5620 Å, 60.00 60.00 60.00°
With the nearest neighbours (Å) after each atom.
Fractional positions:
Sr  0.0000  0.0000  0.0000  4 Al 3.41, 4 Br 3.41
Al  0.7500  0.7500  0.7500  4 Br 3.41, 4 Sr 3.41
Br  0.2500  0.2500  0.2500  4 Br 3.41, 4 Sr 3.41
Br  0.5000  0.5000  0.5000  4 Br 3.41, 4 Al 3.41


Record 10
Computed, not measured: an optimized crystal structure of SrAl2Br at the PBE level of DFT.

Properties
energy relative to the lowest polymorph listed for this composition	0.163	eV/atom
crystal system	monoclinic
space-group type	P2/m, No. 10
D(E_F)	1.54	states/eV/cell
ΔE_f (raw)	-0.356	eV/atom

Cell: 3.8319 6.7899 4.5081 Å, 90.00 90.29 90.00°
With the nearest neighbours (Å) after each atom.
Fractional positions:
Sr  0.0000  0.0000  0.0000  4 Br 2.95-2.97
Al  0.2471  0.5000  0.7717  4 Al 2.80-3.13
Al  0.7529  0.5000  0.2283  4 Al 2.80-3.13
Br  0.5000  0.0000  0.5000  4 Sr 2.95-2.97


Record 11
Computed, not measured: an optimized crystal structure of SrAl2Br at the PBE level of DFT.

Properties
energy relative to the lowest polymorph listed for this composition	0.639	eV/atom
crystal system	trigonal
space-group type	R-3m, No. 166
D(E_F)	3.23	states/eV/cell
ΔE_f (raw)	0.120	eV/atom

Cell: 9.8192 9.8192 9.8192 Å, 21.46 21.46 21.46°
With the nearest neighbours (Å) after each atom.
Fractional positions:
Sr  0.0000  0.0000  0.0000  6 Al 3.40, 6 Sr 3.66
Al  0.2408  0.2408  0.2408  3 Br 3.00
Al  0.7592  0.7592  0.7592  3 Br 3.00
Br  0.5000  0.5000  0.5000  6 Al 3.00


Record 12
Computed, not measured: an optimized crystal structure of SrAl2Br at the PBE level of DFT.

Properties
energy relative to the lowest polymorph listed for this composition	0.326	eV/atom
crystal system	cubic
space-group type	F-43m, No. 216
D(E_F)	3.72	states/eV/cell
ΔE_f (raw)	-0.193	eV/atom

Cell: 5.2757 5.2757 5.2757 Å, 60.00 60.00 60.00°
With the nearest neighbours (Å) after each atom.
Fractional positions:
Sr  0.0000  0.0000  0.0000  4 Br 3.23, 4 Al 3.23
Al  0.5000  0.5000  0.5000  4 Br 3.23, 4 Al 3.23
Al  0.7500  0.7500  0.7500  4 Al 3.23, 4 Sr 3.23
Br  0.2500  0.2500  0.2500  4 Al 3.23, 4 Sr 3.23


Across the entries above, density takes the values 3.5, 3.3, 2.8, 2.9, 4.0, 3.8, 3.8, 2.8, 3.7, 3.1, 3.3, 3.5 Mg/m³, respectively.